This record from the Alexandria database describes a relaxed structure of Li2MnP4O12. The functional is PBE with a Hubbard U.

Calculated values
Total magnetic moment ... 5.00 Bohr magnetons per cell
Total energy ... -133.7 eV for the cell shown

a = 5.2609 Å, b = 7.2683 Å, c = 7.3335 Å
α = 108.26°, β = 93.65°, γ = 109.34°
Last column: nearest neighbours and their distance in Å.
Space group P-1 (No. 2)
Unique sites:
Li: 0.1508 0.2211 0.0538 x2  4 O 1.97-2.18
Mn: 0.5000 0.5000 0.5000 x1  4 O 2.08-2.09
P: 0.1716 0.7078 0.2944 x2  4 O 1.48-1.63
P: 0.3521 0.9142 0.7228 x2  4 O 1.49-1.63
O: 0.0676 0.3144 0.8395 x2  1 P 1.48
O: 0.1412 0.8264 0.5162 x2  2 P 1.63
O: 0.1920 0.9445 0.8823 x2  1 P 1.49
O: 0.2235 0.5130 0.2921 x2  1 P 1.52
O: 0.4601 0.8586 0.2707 x2  2 P 1.60-1.61
O: 0.4798 0.2220 0.2909 x2  1 P 1.52